The following is a DFT calculation (GGA-PBEsol) of a geometry-optimized SrNb2CrPd structure.

Summary:
* energy relative to the elements: 2560 meV/atom

Unit cell a=4.767 b=4.767 c=4.377 alpha=90.00 beta=90.00 gamma=90.00
Space group P4/mmm (No. 123)
One atom of each set of equivalent atoms:
1 Sr 0.000 0.000 0.000 (multiplicity 1)
2 Nb 0.000 0.500 0.000 (multiplicity 2)
3 Cr 0.000 0.000 0.500 (multiplicity 1)
4 Pd 0.500 0.500 0.500 (multiplicity 1)

The following is a DFT calculation (GGA-PBEsol) of a geometry-optimized Ca2GePd3 structure.

Summary:
* energy relative to the elements: -801 meV/atom

Unit cell a=5.5553 b=5.5553 c=12.2614 alpha=90.00 beta=90.00 gamma=120.00
Space group R-3m (No. 166, hexagonal axes)
One atom of each set of equivalent atoms:
1 Ca 0.0000 0.0000 0.1274 (multiplicity 6)
2 Ge 0.0000 0.0000 0.5000 (multiplicity 3)
3 Pd 0.0000 0.5000 0.0000 (multiplicity 9)

The following is a DFT calculation (GGA-PBEsol) of a geometry-optimized Mn2NiHg structure.

Summary:
* energy relative to the elements: 331 meV/atom

Unit cell a=3.854 b=3.854 c=7.641 alpha=90.00 beta=90.00 gamma=90.00
Space group I-4m2 (No. 119)
One atom of each set of equivalent atoms:
1 Mn 0.000 0.000 0.000 (multiplicity 2)
2 Mn 0.000 0.500 0.250 (multiplicity 2)
3 Ni 0.000 0.000 0.500 (multiplicity 2)
4 Hg 0.000 0.500 0.750 (multiplicity 2)

The following is a DFT calculation (GGA-PBEsol) of a geometry-optimized FeTe2Ir structure.

Summary:
* ΔE to the lowest computed polymorph: 368.1 meV/atom
* formation energy from raw total energies: 0.426 eV per atom

Unit cell a=6.590 b=6.590 c=6.590 alpha=90.00 beta=90.00 gamma=90.00
Space group Fm-3m (No. 225)
One atom of each set of equivalent atoms:
1 Fe 0.000 0.000 0.000 (multiplicity 4)
2 Te 0.250 0.250 0.250 (multiplicity 8)
3 Ir 0.000 0.000 0.500 (multiplicity 4)

The following is a DFT calculation (GGA-PBEsol) of a geometry-optimized CrCo6Si structure.

Summary:
* formation energy from raw total energies: -0.204 eV per atom

Unit cell a=6.843 b=9.697 c=9.702 alpha=90.00 beta=90.00 gamma=90.00
Space group Cmmm (No. 65)
One atom of each set of equivalent atoms:
1 Cr 0.000 0.000 0.246 (multiplicity 4)
2 Cr 0.000 0.246 0.500 (multiplicity 4)
3 Co 0.000 0.000 0.000 (multiplicity 2)
4 Co 0.000 0.000 0.500 (multiplicity 2)
5 Co 0.000 0.249 0.253 (multiplicity 8)
6 Co 0.000 0.500 0.000 (multiplicity 2)
7 Co 0.000 0.500 0.500 (multiplicity 2)
8 Co 0.248 0.124 0.126 (multiplicity 16)
9 Co 0.249 0.126 0.376 (multiplicity 16)
10 Si 0.000 0.247 0.000 (multiplicity 4)
11 Si 0.000 0.500 0.249 (multiplicity 4)

The following is a DFT calculation (GGA-PBEsol) of a geometry-optimized MgBeS2N structure.

Summary:
* formation energy from raw total energies: 0.040 eV per atom

Unit cell a=4.655 b=4.655 c=3.147 alpha=90.00 beta=90.00 gamma=90.00
Space group P4/mmm (No. 123)
One atom of each set of equivalent atoms:
1 Mg 0.000 0.000 0.000 (multiplicity 1)
2 Be 0.500 0.500 0.500 (multiplicity 1)
3 S 0.000 0.500 0.500 (multiplicity 2)
4 N 0.500 0.500 0.000 (multiplicity 1)

The following is a DFT calculation (GGA-PBEsol) of a geometry-optimized Mn2GeO4 structure.

Summary:
* formation energy from raw total energies: -1.409 eV per atom

Unit cell a=5.241 b=9.282 c=2.952 alpha=90.00 beta=90.00 gamma=90.00
Space group Pbam (No. 55)
One atom of each set of equivalent atoms:
1 Mn 0.060 0.175 0.000 (multiplicity 4)
2 Ge 0.000 0.500 0.500 (multiplicity 2)
3 O 0.132 0.689 0.500 (multiplicity 4)
4 O 0.233 0.457 0.000 (multiplicity 4)

The following is a DFT calculation (GGA-PBEsol) of a geometry-optimized SrC3 structure.

Summary:
* ΔE to the lowest computed polymorph: 1805.0 meV/atom
* energy relative to the elements: 3047 meV/atom

Unit cell a=5.835 b=5.835 c=5.835 alpha=90.00 beta=90.00 gamma=90.00
Space group Fm-3m (No. 225)
One atom of each set of equivalent atoms:
1 Sr 0.000 0.000 0.000 (multiplicity 4)
2 C 0.000 0.000 0.500 (multiplicity 4)
3 C 0.250 0.250 0.250 (multiplicity 8)

The following is a DFT calculation (GGA-PBEsol) of a geometry-optimized LiHfI2 structure.

Summary:
* formation energy from raw total energies: -0.169 eV per atom

Unit cell a=7.104 b=7.104 c=7.104 alpha=90.00 beta=90.00 gamma=90.00
Space group Fm-3m (No. 225)
One atom of each set of equivalent atoms:
1 Li 0.000 0.000 0.000 (multiplicity 4)
2 Hf 0.000 0.000 0.500 (multiplicity 4)
3 I 0.250 0.250 0.250 (multiplicity 8)

The following is a DFT calculation (GGA-PBEsol) of a geometry-optimized Tl2Hg structure.

Summary:
* ΔE to the lowest computed polymorph: 15.0 meV/atom
* energy relative to the elements: 4 meV/atom

Unit cell a=12.816 b=3.582 c=7.253 alpha=90.00 beta=105.48 gamma=90.00
Space group Cm (No. 8)
One atom of each set of equivalent atoms:
1 Tl 0.000 0.000 0.000 (multiplicity 2)
2 Tl 0.001 0.000 0.501 (multiplicity 2)
3 Tl 0.178 0.500 0.324 (multiplicity 2)
4 Tl 0.323 0.000 0.676 (multiplicity 2)
5 Hg 0.165 0.500 0.843 (multiplicity 2)
6 Hg 0.336 0.000 0.159 (multiplicity 2)

The following is a DFT calculation (GGA-PBEsol) of a geometry-optimized Sr3NiOs structure.

Summary:
* energy relative to the elements: 1026 meV/atom

Unit cell a=5.305 b=5.305 c=5.305 alpha=90.00 beta=90.00 gamma=90.00
Space group Pm-3m (No. 221)
One atom of each set of equivalent atoms:
1 Sr 0.000 0.000 0.500 (multiplicity 3)
2 Ni 0.000 0.000 0.000 (multiplicity 1)
3 Os 0.500 0.500 0.500 (multiplicity 1)

The following is a DFT calculation (GGA-PBEsol) of a geometry-optimized Li2ZnAu structure.

Summary:
* energy relative to the elements: -343 meV/atom

Unit cell a=2.886 b=3.680 c=5.434 alpha=90.00 beta=90.00 gamma=90.00
Space group Pmmm (No. 47)
One atom of each set of equivalent atoms:
1 Li 0.000 0.000 0.242 (multiplicity 2)
2 Zn 0.500 0.500 0.500 (multiplicity 1)
3 Au 0.500 0.500 0.000 (multiplicity 1)

The following is a DFT calculation (GGA-PBEsol) of a geometry-optimized CoTeP2 structure.

Summary:
* formation energy from raw total energies: 0.634 eV per atom

Unit cell a=3.559 b=3.559 c=5.137 alpha=90.00 beta=90.00 gamma=90.00
Space group P4/mmm (No. 123)
One atom of each set of equivalent atoms:
1 Co 0.000 0.000 0.000 (multiplicity 1)
2 Te 0.500 0.500 0.000 (multiplicity 1)
3 P 0.000 0.500 0.500 (multiplicity 2)

The following is a DFT calculation (GGA-PBEsol) of a geometry-optimized LaTeP2 structure.

Summary:
* formation energy from raw total energies: -0.146 eV per atom

Unit cell a=7.166 b=7.166 c=7.166 alpha=90.00 beta=90.00 gamma=90.00
Space group F-43m (No. 216)
One atom of each set of equivalent atoms:
1 La 0.000 0.000 0.000 (multiplicity 4)
2 Te 0.250 0.250 0.750 (multiplicity 4)
3 P 0.000 0.000 0.500 (multiplicity 4)
4 P 0.250 0.250 0.250 (multiplicity 4)

The following is a DFT calculation (GGA-PBEsol) of a geometry-optimized Zn2CuP structure.

Summary:
* energy relative to the elements: 121 meV/atom

Unit cell a=2.8468 b=2.8468 c=23.2231 alpha=90.00 beta=90.00 gamma=120.00
Space group R3m (No. 160, hexagonal axes)
One atom of each set of equivalent atoms:
1 Zn 0.0000 0.0000 0.0000 (multiplicity 3)
2 Zn 0.0000 0.0000 0.2458 (multiplicity 3)
3 Cu 0.0000 0.0000 0.4948 (multiplicity 3)
4 P 0.0000 0.0000 0.7537 (multiplicity 3)

The following is a DFT calculation (GGA-PBEsol) of a geometry-optimized CaLu2S4 structure.

Summary:
* formation energy from raw total energies: -2.147 eV per atom

Unit cell a=12.594 b=3.785 c=12.780 alpha=90.00 beta=90.00 gamma=90.00
Space group Pnma (No. 62)
One atom of each set of equivalent atoms:
1 Ca 0.132 0.250 0.084 (multiplicity 4)
2 Lu 0.106 0.750 0.416 (multiplicity 4)
3 Lu 0.148 0.750 0.799 (multiplicity 4)
4 S 0.031 0.250 0.882 (multiplicity 4)
5 S 0.036 0.750 0.618 (multiplicity 4)
6 S 0.217 0.750 0.238 (multiplicity 4)
7 S 0.240 0.250 0.474 (multiplicity 4)

The following is a DFT calculation (GGA-PBEsol) of a geometry-optimized LiRh2Se structure.

Summary:
* formation energy from raw total energies: -0.221 eV per atom

Unit cell a=4.201 b=2.862 c=9.328 alpha=90.00 beta=90.00 gamma=90.00
Space group Amm2 (No. 38)
One atom of each set of equivalent atoms:
1 Li 0.000 0.000 0.000 (multiplicity 2)
2 Rh 0.000 0.000 0.261 (multiplicity 2)
3 Rh 0.500 0.000 0.646 (multiplicity 2)
4 Se 0.500 0.000 0.389 (multiplicity 2)

The following is a DFT calculation (GGA-PBEsol) of a geometry-optimized RbPbI3 structure.

Summary:
* formation energy from raw total energies: -0.895 eV per atom

Unit cell a=6.224 b=6.224 c=6.224 alpha=90.00 beta=90.00 gamma=90.00
Space group Pm-3m (No. 221)
One atom of each set of equivalent atoms:
1 Rb 0.000 0.000 0.000 (multiplicity 1)
2 Pb 0.500 0.500 0.500 (multiplicity 1)
3 I 0.000 0.500 0.500 (multiplicity 3)

The following is a DFT calculation (GGA-PBEsol) of a geometry-optimized HfZrSn3 structure.

Summary:
* energy relative to the elements: 724 meV/atom

Unit cell a=5.307 b=5.307 c=5.307 alpha=90.00 beta=90.00 gamma=90.00
Space group Pm-3m (No. 221)
One atom of each set of equivalent atoms:
1 Hf 0.000 0.000 0.000 (multiplicity 1)
2 Zr 0.500 0.500 0.500 (multiplicity 1)
3 Sn 0.000 0.000 0.500 (multiplicity 3)

The following is a DFT calculation (GGA-PBEsol) of a geometry-optimized BaMo4As structure.

Summary:
* energy relative to the elements: 897 meV/atom

Unit cell a=7.683 b=7.683 c=7.683 alpha=90.00 beta=90.00 gamma=90.00
Space group F-43m (No. 216)
One atom of each set of equivalent atoms:
1 Ba 0.000 0.000 0.000 (multiplicity 4)
2 Mo 0.121 0.121 0.379 (multiplicity 16)
3 As 0.250 0.250 0.750 (multiplicity 4)

The following is a DFT calculation (GGA-PBEsol) of a geometry-optimized LiSbCl2 structure.

Summary:
* ΔE to the lowest computed polymorph: 509.2 meV/atom
* formation energy from raw total energies: -0.586 eV per atom

Unit cell a=5.109 b=5.109 c=3.278 alpha=90.00 beta=90.00 gamma=90.00
Space group P4/mmm (No. 123)
One atom of each set of equivalent atoms:
1 Li 0.000 0.000 0.000 (multiplicity 1)
2 Sb 0.500 0.500 0.000 (multiplicity 1)
3 Cl 0.000 0.500 0.500 (multiplicity 2)

The following is a DFT calculation (GGA-PBEsol) of a geometry-optimized AlAuBr2 structure.

Summary:
* ΔE to the lowest computed polymorph: 94.9 meV/atom
* formation energy from raw total energies: 0.166 eV per atom

Unit cell a=4.953 b=4.953 c=3.528 alpha=90.00 beta=90.00 gamma=90.00
Space group P4/mmm (No. 123)
One atom of each set of equivalent atoms:
1 Al 0.000 0.000 0.000 (multiplicity 1)
2 Au 0.500 0.500 0.000 (multiplicity 1)
3 Br 0.000 0.500 0.500 (multiplicity 2)

The following is a DFT calculation (GGA-PBEsol) of a geometry-optimized CaTcSb2 structure.

Summary:
* formation energy from raw total energies: 0.191 eV per atom

Unit cell a=3.3941 b=3.3941 c=27.9998 alpha=90.00 beta=90.00 gamma=120.00
Space group R3m (No. 160, hexagonal axes)
One atom of each set of equivalent atoms:
1 Ca 0.0000 0.0000 0.0000 (multiplicity 3)
2 Tc 0.0000 0.0000 0.7470 (multiplicity 3)
3 Sb 0.0000 0.0000 0.2391 (multiplicity 3)
4 Sb 0.0000 0.0000 0.4751 (multiplicity 3)

The following is a DFT calculation (GGA-PBEsol) of a geometry-optimized Fe4TcMo structure.

Summary:
* energy relative to the elements: -20 meV/atom

Unit cell a=6.520 b=6.520 c=6.520 alpha=90.00 beta=90.00 gamma=90.00
Space group F-43m (No. 216)
One atom of each set of equivalent atoms:
1 Fe 0.125 0.125 0.125 (multiplicity 16)
2 Tc 0.250 0.250 0.750 (multiplicity 4)
3 Mo 0.000 0.000 0.500 (multiplicity 4)

The following is a DFT calculation (GGA-PBEsol) of a geometry-optimized YTl2Ru structure.

Summary:
* ΔE to the lowest computed polymorph: 0.0 meV/atom
* energy relative to the elements: -12 meV/atom

Unit cell a=4.644 b=4.644 c=7.581 alpha=90.00 beta=90.00 gamma=90.00
Space group I4/mmm (No. 139)
One atom of each set of equivalent atoms:
1 Y 0.000 0.000 0.000 (multiplicity 2)
2 Tl 0.000 0.500 0.250 (multiplicity 4)
3 Ru 0.000 0.000 0.500 (multiplicity 2)

The following is a DFT calculation (GGA-PBEsol) of a geometry-optimized TaMnP2 structure.

Summary:
* ΔE to the lowest computed polymorph: 326.6 meV/atom
* energy relative to the elements: -349 meV/atom

Unit cell a=5.942 b=5.942 c=5.942 alpha=90.00 beta=90.00 gamma=90.00
Space group Fm-3m (No. 225)
One atom of each set of equivalent atoms:
1 Ta 0.000 0.000 0.000 (multiplicity 4)
2 Mn 0.000 0.000 0.500 (multiplicity 4)
3 P 0.250 0.250 0.250 (multiplicity 8)